An optimized crystal structure of Ag2PbBr, computed with PBE.

Calculated values
N(E_F) (states/eV/atom): 0.220
Symmetry: Cmmm (65)
Energy above the most stable polymorph in this dataset (meV/atom): 160
Raw formation energy (eV per atom): 0.08

Geometry as POSCAR:
```
Ag2PbBr
1.0
6.0422 0.0000 0.0000
0.0000 8.7881 0.0000
0.0000 0.0000 3.7166
Ag Pb Br
4 2 2
Cartesian
1.5106 2.1970 0.0000
1.5106 6.5911 0.0000
4.5317 2.1970 0.0000
4.5317 6.5911 0.0000
0.0000 0.0000 1.8583
3.0211 4.3940 1.8583
0.0000 4.3940 1.8583
3.0211 0.0000 1.8583
```